No. 1
## Na2AcZnO4 (PBE-GGA)

Data for an optimized crystal structure of Na2AcZnO4.

Properties
**N(E_F)**: 0.55 states/eV/atom
**Crystal system**: orthorhombic
**Total magnetization**: 4.05 μB per cell
**Energy relative to the elements, uncorrected**: -1756 meV per atom

Unit cell a=3.486 b=11.727 c=11.555 alpha=90.00 beta=90.00 gamma=90.00
Space group Cmcm (No. 63)
Symmetry-distinct sites (fractional):
Na 0.000 0.136 0.044 [8 per cell]
Ac 0.000 0.400 0.250 [4 per cell]
Zn 0.000 0.335 0.750 [4 per cell]
O 0.000 0.072 0.250 [4 per cell]
O 0.000 0.211 0.635 [8 per cell]
O 0.000 0.500 0.000 [4 per cell]

No. 2
## Nd2Zn3CuPd4 (PBE-GGA)

Data for an optimized crystal structure of Nd2Zn3CuPd4.

Properties
**N(E_F)**: 0.42 states/eV/atom
**Crystal system**: tetragonal
**Formation enthalpy at 0 K**: -5.68 eV/f.u.
**Total magnetization**: 0.00 μB per cell

Unit cell a=4.164 b=4.164 c=10.976 alpha=90.00 beta=90.00 gamma=90.00
Space group P-4m2 (No. 115)
Symmetry-distinct sites (fractional):
Nd 0.000 0.500 0.248 [2 per cell]
Zn 0.000 0.000 0.000 [1 per cell]
Zn 0.000 0.500 0.633 [2 per cell]
Cu 0.500 0.500 0.000 [1 per cell]
Pd 0.000 0.000 0.500 [1 per cell]
Pd 0.000 0.500 0.861 [2 per cell]
Pd 0.500 0.500 0.500 [1 per cell]

No. 3
## Al4Zn3Ga2 (PBE-GGA)

Data for an optimized crystal structure of Al4Zn3Ga2.

Properties
**N(E_F)**: 0.24 states/eV/atom
**Crystal system**: monoclinic
**Formation enthalpy at 0 K**: 1.19 eV/f.u.
**Total magnetization**: 0.00 μB per cell

Unit cell a=12.141 b=11.720 c=5.264 alpha=90.00 beta=105.11 gamma=90.00
Space group C2/c (No. 15)
Symmetry-distinct sites (fractional):
Al 0.099 0.247 0.175 [8 per cell]
Al 0.241 0.390 0.991 [8 per cell]
Zn 0.000 0.487 0.750 [4 per cell]
Zn 0.098 0.240 0.675 [8 per cell]
Ga 0.245 0.392 0.495 [8 per cell]

> Look up the total magnetization of the third one.

0.00 μB per cell